Computed, not measured: an optimized crystal structure of NaTlSn2Te4 at the PBE level of DFT. Values from VASP.

Symmetry: No. 10
Uncorrected energy (eV/atom): -3.40
ρ (Mg/m³): 6.22
E_form (uncorrected) (eV per formula unit): -2.93

The structure in Quantum ESPRESSO input format:
```
&SYSTEM
  ibrav = 0, nat = 8, ntyp = 4
/
ATOMIC_SPECIES
Na 22.99 Na.upf
Tl 204.38 Tl.upf
Sn 118.71 Sn.upf
Te 127.60 Te.upf
CELL_PARAMETERS angstrom
7.625 0.000 0.000
0.000 4.390 0.000
-2.451 0.000 7.785
ATOMIC_POSITIONS angstrom
Na 0.000 0.000 0.000
Tl 3.812 2.195 0.000
Sn -1.225 2.195 3.892
Sn 2.587 0.000 3.892
Te -0.003 0.000 5.668
Te 1.239 2.195 2.096
Te 3.936 2.195 5.689
Te 5.177 0.000 2.116
```